# 1
Density functional theory data (PBE-GGA) for a geometry-optimized HoCd4Hg structure.

extended XYZ file:
```
6
Lattice="-2.365 -4.438 -3.086 3.496 -3.791 -2.867 0.540 -5.550 1.927" Properties=species:S:1:pos:R:3 pbc="T T T"
Cd 1.043 -8.604 -2.514
Cd -0.697 -6.717 -1.087
Cd 2.220 -6.395 -0.978
Cd 0.774 -5.842 -3.473
Hg 0.000 0.000 0.000
Ho 0.418 -3.445 -1.006
```

Output
The space-group type is F-43m. Its density of states at the Fermi level is 0.540 states/eV/atom. Its energy relative to the elements is -0.048 eV per atom. Its offset from the most stable computed form is 130 meV per atom.

# 2
Density functional theory data (PBE-GGA) for a geometry-optimized PuMnP2 structure.

extended XYZ file:
```
4
Lattice="-0.020 -2.705 -2.596 -0.425 -3.581 1.027 -5.655 -1.583 -1.014" Properties=species:S:1:pos:R:3 pbc="T T T"
Pu -3.050 -3.935 -1.292
P -4.839 -5.877 -1.961
P -1.261 -1.992 -0.622
Mn 0.000 0.000 0.000
```

Output
The space-group type is R-3m. Its density of states at the Fermi level is 2.185 states/eV/atom. Its energy relative to the elements is -0.707 eV per atom.

# 3
Density functional theory data (PBE-GGA) for a geometry-optimized MnPdSe2 structure.

extended XYZ file:
```
4
Lattice="-2.509 0.838 3.750 -0.685 4.321 1.384 -4.156 1.906 -0.398" Properties=species:S:1:pos:R:3 pbc="T T T"
Mn 0.000 0.000 0.000
Se -1.838 1.766 1.184
Se -5.513 5.299 3.552
Pd -3.675 3.532 2.368
```

Output
The space-group type is Fm-3m. Its density of states at the Fermi level is 0.350 states/eV/atom. Its offset from the most stable computed form is 174 meV per atom. The calculation puts the uncorrected formation energy at -71 meV per atom.

# 4
Density functional theory data (PBE-GGA) for a geometry-optimized RbH2Br structure.

extended XYZ file:
```
8
Lattice="-0.596 -4.301 -1.929 -0.081 -1.935 4.338 -8.090 -2.169 1.484" Properties=species:S:1:pos:R:3 pbc="T T T"
Br -4.254 -3.611 3.513
Br -0.338 -3.118 1.205
H -2.297 -3.368 2.357
H -2.255 -2.394 0.191
H -6.341 -4.451 3.104
H -6.639 -6.598 2.133
Rb -4.512 -4.794 0.379
Rb 0.000 0.000 0.000
```

Output
The space-group type is I4_1/amd. Its density of states at the Fermi level is 0.132 states/eV/atom. Its offset from the most stable computed form is 1108 meV per atom.

# 5
Density functional theory data (PBE-GGA) for a geometry-optimized TbEuDyHg structure.

extended XYZ file:
```
4
Lattice="5.461 0.000 0.000 2.730 4.729 0.000 2.730 1.576 4.459" Properties=species:S:1:pos:R:3 pbc="T T T"
Tb 5.461 3.153 2.229
Hg 8.191 4.729 3.344
Dy 0.000 0.000 0.000
Eu 2.730 1.576 1.115
```

Output
The space-group type is F-43m. Its density of states at the Fermi level is 1.295 states/eV/atom. Its energy relative to the elements is -0.040 eV per atom.

# 6
Density functional theory data (PBE-GGA) for a geometry-optimized TaCu6Pd8 structure.

extended XYZ file:
```
15
Lattice="6.135 0.602 0.622 0.411 6.151 0.622 0.411 0.424 6.167" Properties=species:S:1:pos:R:3 pbc="T T T"
Cu 3.120 5.327 4.213
Cu 5.227 4.105 3.418
Cu 3.836 1.849 3.198
Cu 3.940 3.244 5.460
Cu 3.016 3.932 1.951
Cu 1.729 3.071 3.993
Pd 1.701 4.295 6.254
Pd 4.240 6.192 2.035
Pd 0.899 5.285 2.917
Pd 5.255 2.881 1.157
Pd 6.057 1.891 4.494
Pd 5.341 5.511 5.691
Pd 2.716 0.984 5.377
Pd 1.614 1.666 1.720
Ta 0.000 0.000 0.000
```

Output
The space-group type is R-3. Its density of states at the Fermi level is 0.335 states/eV/atom. Its energy relative to the elements is -0.009 eV per atom.